Sm7HoTm2 | PBE-GGA | optimized geometry

calculated density = 7911 kg/m³
SG = P-1, No. 2
distance to the lowest polymorph of the same formula = 0 meV per atom
total magnetization = 0.0 μB/f.u.
energy of formation = 0.019 eV per atom

Cell: 6.200 6.219 9.496 Å, 102.70 109.01 99.48°
Fractional coordinates of all 10 atoms:
Sm 0.000 0.000 0.000
Sm 0.199 0.598 0.199
Sm 0.200 0.101 0.701
Sm 0.402 0.200 0.399
Sm 0.598 0.800 0.601
Sm 0.800 0.899 0.299
Sm 0.801 0.402 0.801
Ho 0.000 0.500 0.500
Tm 0.401 0.700 0.901
Tm 0.599 0.300 0.099